## a
VASP calculation (PBE-GGA) on crystalline Be2SiHg at its relaxed geometry.

Properties
The symmetry is R-3m, No. 166. As for the crystal system: trigonal. As for the magnetization: 0.00 μB/cell.

abc: 7.569 7.569 7.569
angles: 22.69 22.69 22.69
Fractional positions:
1 Be 0.491 0.491 0.491
2 Be 0.009 0.009 0.009
3 Hg 0.250 0.250 0.250
4 Si 0.750 0.750 0.750

## b
VASP calculation (PBE-GGA) on crystalline Be2SiHg at its relaxed geometry.

Properties
The symmetry is C2/m, No. 12. As for the crystal system: monoclinic. As for the magnetization: 0.00 μB/cell.

abc: 3.850 3.850 7.838
angles: 55.47 55.47 43.45
Fractional positions:
1 Hg 0.250 0.250 0.250
2 Be 0.576 0.576 0.589
3 Be 0.924 0.924 0.911
4 Si 0.750 0.750 0.750

## c
VASP calculation (PBE-GGA) on crystalline Be2SiHg at its relaxed geometry.

Properties
The symmetry is I4/mmm, No. 139. As for the crystal system: tetragonal. As for the magnetization: 0.00 μB/cell.

abc: 4.590 4.590 4.590
angles: 129.57 129.57 74.09
Fractional positions:
1 Be 0.000 0.000 0.000
2 Be 0.500 0.500 0.000
3 Hg 0.250 0.750 0.500
4 Si 0.750 0.250 0.500

## d
VASP calculation (PBE-GGA) on crystalline Be2SiHg at its relaxed geometry.

Properties
The symmetry is F-43m, No. 216. As for the crystal system: cubic. As for the magnetization: 0.00 μB/cell.

abc: 4.400 4.400 4.400
angles: 60.00 60.00 60.00
Fractional positions:
1 Si 0.750 0.750 0.750
2 Be 0.000 0.000 0.000
3 Be 0.250 0.250 0.250
4 Hg 0.500 0.500 0.500

Which of them is least stable? Easy: d.

## a
VASP calculation (PBE-GGA) on crystalline BeSiHg2 at its relaxed geometry.

Properties
The symmetry is R-3m, No. 166. As for the crystal system: trigonal. As for the magnetization: 0.00 μB/cell.

abc: 8.020 8.020 8.020
angles: 23.83 23.83 23.83
Fractional positions:
1 Si 0.250 0.250 0.250
2 Hg 0.491 0.491 0.491
3 Hg 0.009 0.009 0.009
4 Be 0.750 0.750 0.750

## b
VASP calculation (PBE-GGA) on crystalline BeSiHg2 at its relaxed geometry.

Properties
The symmetry is Pmmm, No. 47. As for the crystal system: orthorhombic. As for the magnetization: 0.00 μB/cell.

abc: 3.330 5.598 4.206
angles: 90.00 90.00 90.00
Fractional positions:
1 Hg 0.000 0.000 0.000
2 Hg 0.500 0.500 0.000
3 Be 0.000 0.500 0.500
4 Si 0.500 0.000 0.500

Which of them is least stable? Easy: b.

## a
VASP calculation (PBE-GGA) on crystalline BeSiHg2 at its relaxed geometry.

Properties
The symmetry is Cmmm, No. 65. As for the crystal system: orthorhombic. As for the magnetization: 0.00 μB/cell.

abc: 3.271 3.271 9.046
angles: 90.00 90.00 126.94
Fractional positions:
1 Hg 0.000 0.000 0.971
2 Hg 0.000 0.000 0.529
3 Be 0.500 0.500 0.750
4 Si 0.500 0.500 0.250

## b
VASP calculation (PBE-GGA) on crystalline BeSiHg2 at its relaxed geometry.

Properties
The symmetry is I4/mmm, No. 139. As for the crystal system: tetragonal. As for the magnetization: 0.00 μB/cell.

abc: 5.095 5.095 5.095
angles: 130.73 130.73 72.25
Fractional positions:
1 Be 0.750 0.250 0.500
2 Hg 0.000 0.000 0.000
3 Hg 0.500 0.500 0.000
4 Si 0.250 0.750 0.500

## c
VASP calculation (PBE-GGA) on crystalline BeSiHg2 at its relaxed geometry.

Properties
The symmetry is Pm, No. 6. As for the crystal system: monoclinic. As for the magnetization: 0.00 μB/cell.

abc: 4.106 4.654 4.988
angles: 57.91 90.00 90.00
Fractional positions:
1 Hg 0.500 0.291 0.303
2 Hg 0.000 0.951 0.927
3 Be 0.500 0.612 0.726
4 Si 0.000 0.647 0.545

Which of them is least stable? Easy: b.

## a
VASP calculation (PBE-GGA) on crystalline BeSiHg2 at its relaxed geometry.

Properties
The symmetry is P4/mmm, No. 123. As for the crystal system: tetragonal. As for the magnetization: 0.00 μB/cell.

abc: 3.930 4.352 4.352
angles: 90.00 90.00 90.00
Fractional positions:
1 Be 0.500 0.000 0.500
2 Hg 0.000 0.500 0.500
3 Hg 0.000 0.000 0.000
4 Si 0.500 0.500 0.000

## b
VASP calculation (PBE-GGA) on crystalline BeSiHg2 at its relaxed geometry.

Properties
The symmetry is I-42d, No. 122. As for the crystal system: tetragonal. As for the magnetization: 0.00 μB/cell.

abc: 4.367 4.367 8.844
angles: 75.71 75.71 90.00
Fractional positions:
1 Hg 0.875 0.854 0.750
2 Hg 0.604 0.125 0.250
3 Hg 0.375 0.396 0.750
4 Hg 0.146 0.625 0.250
5 Si 0.000 0.000 0.000
6 Si 0.750 0.250 0.500
7 Be 0.250 0.750 0.500
8 Be 0.500 0.500 0.000

## c
VASP calculation (PBE-GGA) on crystalline BeSiHg2 at its relaxed geometry.

Properties
The symmetry is Fm-3m, No. 225. As for the crystal system: cubic. As for the magnetization: 0.00 μB/cell.

abc: 4.733 4.733 4.733
angles: 60.00 60.00 60.00
Fractional positions:
1 Be 0.000 0.000 0.000
2 Hg 0.250 0.250 0.250
3 Hg 0.750 0.750 0.750
4 Si 0.500 0.500 0.500

Which of them is least stable? Easy: c.

## a
VASP calculation (PBE-GGA) on crystalline Be2SiHg2 at its relaxed geometry.

Properties
The symmetry is P4/mbm, No. 127. As for the crystal system: tetragonal. As for the magnetization: 0.00 μB/cell.

abc: 7.676 7.676 2.781
angles: 90.00 90.00 90.00
Fractional positions:
1 Be 0.606 0.894 0.500
2 Be 0.394 0.106 0.500
3 Be 0.106 0.606 0.500
4 Be 0.894 0.394 0.500
5 Hg 0.311 0.811 0.000
6 Hg 0.189 0.311 0.000
7 Hg 0.689 0.189 0.000
8 Hg 0.811 0.689 0.000
9 Si 0.000 0.000 0.000
10 Si 0.500 0.500 0.000

## b
VASP calculation (PBE-GGA) on crystalline Be2SiHg2 at its relaxed geometry.

Properties
The symmetry is I4/mmm, No. 139. As for the crystal system: tetragonal. As for the magnetization: 0.00 μB/cell.

abc: 3.600 3.600 6.882
angles: 74.84 74.84 90.00
Fractional positions:
1 Hg 0.617 0.617 0.766
2 Hg 0.383 0.383 0.234
3 Be 0.750 0.250 0.500
4 Be 0.250 0.750 0.500
5 Si 0.000 0.000 0.000

Which of them is least stable? Easy: a.

## a
VASP calculation (PBE-GGA) on crystalline BeSi3Hg at its relaxed geometry.

Properties
The symmetry is Pm-3m, No. 221. As for the crystal system: cubic. As for the magnetization: 0.00 μB/cell.

abc: 4.428 4.428 4.428
angles: 90.00 90.00 90.00
Fractional positions:
1 Si 0.000 0.000 0.500
2 Si 0.000 0.500 0.000
3 Si 0.500 0.000 0.000
4 Be 0.000 0.000 0.000
5 Hg 0.500 0.500 0.500

## b
VASP calculation (PBE-GGA) on crystalline BeSi3Hg at its relaxed geometry.

Properties
The symmetry is Pm-3m, No. 221. As for the crystal system: cubic. As for the magnetization: 0.00 μB/cell.

abc: 5.031 5.031 5.031
angles: 90.00 90.00 90.00
Fractional positions:
1 Hg 0.000 0.000 0.000
2 Be 0.500 0.500 0.500
3 Si 0.500 0.000 0.000
4 Si 0.000 0.500 0.000
5 Si 0.000 0.000 0.500

Which of them is least stable? Easy: b.

## a
VASP calculation (PBE-GGA) on crystalline BeSn2Hg2 at its relaxed geometry.

Properties
The symmetry is P4/mbm, No. 127. As for the crystal system: tetragonal. As for the magnetization: 0.00 μB/cell.

abc: 6.555 6.555 5.584
angles: 90.00 90.00 90.00
Fractional positions:
1 Hg 0.832 0.668 0.000
2 Hg 0.668 0.168 0.000
3 Hg 0.332 0.832 0.000
4 Hg 0.168 0.332 0.000
5 Sn 0.821 0.321 0.500
6 Sn 0.321 0.179 0.500
7 Sn 0.179 0.679 0.500
8 Sn 0.679 0.821 0.500
9 Be 0.000 0.000 0.000
10 Be 0.500 0.500 0.000

## b
VASP calculation (PBE-GGA) on crystalline BeSn2Hg2 at its relaxed geometry.

Properties
The symmetry is P4/mbm, No. 127. As for the crystal system: tetragonal. As for the magnetization: 0.00 μB/cell.

abc: 6.618 6.618 5.672
angles: 90.00 90.00 90.00
Fractional positions:
1 Sn 0.158 0.342 0.000
2 Sn 0.342 0.842 0.000
3 Sn 0.658 0.158 0.000
4 Sn 0.842 0.658 0.000
5 Hg 0.192 0.692 0.500
6 Hg 0.692 0.808 0.500
7 Hg 0.808 0.308 0.500
8 Hg 0.308 0.192 0.500
9 Be 0.500 0.500 0.000
10 Be 0.000 0.000 0.000

Which of them is least stable? Easy: a.

## a
VASP calculation (PBE-GGA) on crystalline Be2SnHg at its relaxed geometry.

Properties
The symmetry is I-42d, No. 122. As for the crystal system: tetragonal. As for the magnetization: 0.00 μB/cell.

abc: 4.284 4.284 8.672
angles: 75.70 75.70 90.00
Fractional positions:
1 Be 0.375 0.302 0.750
2 Be 0.052 0.625 0.250
3 Be 0.875 0.948 0.750
4 Be 0.698 0.125 0.250
5 Hg 0.000 0.000 0.000
6 Hg 0.750 0.250 0.500
7 Sn 0.250 0.750 0.500
8 Sn 0.500 0.500 0.000

## b
VASP calculation (PBE-GGA) on crystalline Be2SnHg at its relaxed geometry.

Properties
The symmetry is Fm-3m, No. 225. As for the crystal system: cubic. As for the magnetization: 0.00 μB/cell.

abc: 4.597 4.597 4.597
angles: 60.00 60.00 60.00
Fractional positions:
1 Sn 0.000 0.000 0.000
2 Be 0.750 0.750 0.750
3 Be 0.250 0.250 0.250
4 Hg 0.500 0.500 0.500

Which of them is least stable? Easy: b.